## PmMg (PBE)

Data for crystalline PmMg at its relaxed geometry.

- Total moment: 0.06 μB per cell
- VASP energy: -3.09 eV/atom

Lattice parameters (Å, degrees): 6.935 6.935 5.582 90.00 90.00 120.00
Positions (direct):
Pm 0.000 0.000 0.000
Pm 0.833 0.167 0.500
Pm 0.833 0.666 0.500
Pm 0.334 0.167 0.500
Mg 0.999 0.500 0.000
Mg 0.500 0.001 0.000
Mg 0.333 0.667 0.500
Mg 0.500 0.500 0.000

=====

## Pm3Mg2 (PBE)

Data for crystalline Pm3Mg2 at its relaxed geometry.

- Total moment: 5.95 μB per cell
- VASP energy: -2.89 eV/atom

Lattice parameters (Å, degrees): 7.961 7.961 8.351 118.47 61.53 120.00
Last column: magnetic moment on the atom in μB.
Positions (direct):
Mg 0.848 0.152 0.455  0.03
Mg 0.348 0.652 0.955  0.03
Mg 0.652 0.348 0.045  0.03
Mg 0.152 0.848 0.545  0.03
Pm 0.450 0.250 0.750  0.35
Pm 0.050 0.550 0.750  0.34
Pm 0.950 0.450 0.250  0.34
Pm 0.750 0.950 0.750  0.33
Pm 0.550 0.750 0.250  0.35
Pm 0.250 0.050 0.250  0.33

=====

## PmMg2 (PBE)

Data for crystalline PmMg2 at its relaxed geometry.

- Total moment: 0.39 μB per cell
- VASP energy: -1.84 eV/atom

Lattice parameters (Å, degrees): 6.248 6.248 5.885 90.00 90.00 90.00
Last column: magnetic moment on the atom in μB.
Positions (direct):
Mg 0.342 0.342 0.000  0.00
Mg 0.158 0.842 0.500  0.00
Mg 0.658 0.658 0.000  0.00
Mg 0.842 0.158 0.500  0.00
Pm 0.000 0.000 0.000  0.06
Pm 0.500 0.500 0.500  0.06

=====

## PmMg2 (PBE)

Data for crystalline PmMg2 at its relaxed geometry.

- Total moment: 0.13 μB per cell
- VASP energy: -2.63 eV/atom

Lattice parameters (Å, degrees): 15.696 8.548 5.246 90.00 90.00 67.17
Positions (direct):
Pm 0.455 0.020 0.500
Pm 0.201 0.388 0.500
Pm 0.810 0.826 0.000
Pm 0.841 0.083 0.500
Pm 0.384 0.535 0.500
Pm 0.993 0.973 0.000
Pm 0.739 0.341 0.000
Pm 0.353 0.278 0.000
Mg 0.232 0.691 0.000
Mg 0.820 0.502 0.500
Mg 0.513 0.494 0.000
Mg 0.603 0.588 0.500
Mg 0.962 0.670 0.500
Mg 0.587 0.114 0.000
Mg 0.121 0.801 0.500
Mg 0.682 0.867 0.500
Mg 0.374 0.859 0.000
Mg 0.161 0.152 0.000
Mg 0.073 0.560 0.000
Mg 0.608 0.247 0.500
Mg 0.937 0.393 0.000
Mg 0.591 0.773 0.000
Mg 0.033 0.209 0.500
Mg 0.258 0.968 0.500

=====

## PmMg (PBE)

Data for crystalline PmMg at its relaxed geometry.

- Total moment: 0.07 μB per cell
- VASP energy: -3.15 eV/atom

Lattice parameters (Å, degrees): 5.998 9.152 5.558 90.00 90.00 70.87
Positions (direct):
Pm 0.193 0.600 0.000
Pm 0.823 0.392 0.000
Pm 0.615 0.808 0.000
Pm 0.247 0.814 0.500
Pm 0.460 0.386 0.500
Mg 0.397 0.192 0.000
Mg 0.676 0.000 0.500
Mg 0.076 0.200 0.500
Mg 0.857 0.600 0.500
Mg 0.990 0.008 0.000

=====

## PmMg (PBE)

Data for crystalline PmMg at its relaxed geometry.

- Total moment: 0.00 μB per cell
- VASP energy: -3.18 eV/atom

Lattice parameters (Å, degrees): 8.941 7.249 5.445 90.00 90.00 101.77
Positions (direct):
Pm 0.542 0.885 0.500
Pm 0.681 0.171 0.000
Pm 0.305 0.324 0.000
Pm 0.654 0.663 0.000
Pm 0.917 0.732 0.500
Pm 0.568 0.392 0.500
Mg 0.299 0.828 0.000
Mg 0.995 0.994 0.000
Mg 0.227 0.062 0.500
Mg 0.923 0.228 0.500
Mg 0.227 0.551 0.500
Mg 0.995 0.505 0.000

=====

Question: Among the records above, which one has the highest total moment?
Answer: Pm3Mg2

=====

Question: Look up the total moment of the second one.
Answer: 5.95 μB per cell